[1]
AcTb2YHo5 | GGA-PBE | optimized geometry

Calculated values
DFT total energy: -4.47 eV/atom
SG: I4/mcm (140)
Energy of formation from the pure elements: 0.28 eV per atom
D(E_F): 22.6 states/eV/cell

Unit cell a=9.8256 b=9.8256 c=9.8256 alpha=125.57 beta=125.57 gamma=80.59
Fractional positions:
Ac  0.2500  0.2500  0.0000
Ac  0.7500  0.7500  0.0000
Tb  0.1128  0.6128  0.7257
Tb  0.3872  0.1128  0.5000
Tb  0.6128  0.8872  0.5000
Tb  0.8872  0.3872  0.2743
Y  0.2500  0.7500  0.5000
Y  0.7500  0.2500  0.5000
Ho  0.0000  0.0000  0.0000
Ho  0.0769  0.1686  0.5000
Ho  0.1686  0.6686  0.0917
Ho  0.3314  0.4231  0.5000
Ho  0.4231  0.9231  0.0917
Ho  0.5000  0.5000  0.0000
Ho  0.5769  0.0769  0.9083
Ho  0.6686  0.5769  0.5000
Ho  0.8314  0.3314  0.9083
Ho  0.9231  0.8314  0.5000


[2]
AcTbHoZn | GGA-PBE | optimized geometry

Calculated values
DFT total energy: -3.46 eV/atom
SG: F-43m (216)
Energy of formation from the pure elements: 0.19 eV per atom
D(E_F): 6.3 states/eV/cell

Unit cell a=5.5192 b=5.5192 c=5.5192 alpha=60.00 beta=60.00 gamma=60.00
Fractional positions:
Ac  0.0000  0.0000  0.0000
Tb  0.2500  0.2500  0.2500
Ho  0.7500  0.7500  0.7500
Zn  0.5000  0.5000  0.5000


[3]
AcHo2Tc | GGA-PBE | optimized geometry

Calculated values
Energy above the lowest structure with this stoichiometry: 0.235 eV per atom
DFT total energy: -5.63 eV/atom
SG: R-3m (166)
Energy of formation from the pure elements: 0.28 eV per atom
D(E_F): 4.3 states/eV/cell

Unit cell a=11.3031 b=11.3031 c=11.3031 alpha=18.13 beta=18.13 gamma=18.13
Fractional positions:
Ac  0.0000  0.0000  0.0000
Ho  0.1088  0.1088  0.1088
Ho  0.8912  0.8912  0.8912
Tc  0.5000  0.5000  0.5000


[4]
AcHo2Tc | GGA-PBE | optimized geometry

Calculated values
Energy above the lowest structure with this stoichiometry: 0.000 eV per atom
DFT total energy: -5.86 eV/atom
SG: P4/mmm (123)
Energy of formation from the pure elements: 0.04 eV per atom
D(E_F): 7.8 states/eV/cell

Unit cell a=3.5218 b=3.5218 c=9.3948 alpha=90.00 beta=90.00 gamma=90.00
Fractional positions:
Ac  0.0000  0.0000  0.0000
Ho  0.5000  0.5000  0.3285
Ho  0.5000  0.5000  0.6715
Tc  0.0000  0.0000  0.5000


[5]
AcHoTc | GGA-PBE | optimized geometry

Calculated values
DFT total energy: -6.23 eV/atom
SG: C2/m (12)
Energy of formation from the pure elements: 0.12 eV per atom
D(E_F): 5.2 states/eV/cell

Unit cell a=5.2950 b=5.2950 c=7.4503 alpha=110.51 beta=110.51 gamma=60.48
Fractional positions:
Ac  0.1148  0.1148  0.3413
Ac  0.8852  0.8852  0.6587
Ho  0.2974  0.2974  0.8918
Ho  0.7026  0.7026  0.1082
Tc  0.4396  0.4396  0.3153
Tc  0.5604  0.5604  0.6847


[6]
Ac2Ho2Te7 | GGA-PBE | optimized geometry

Calculated values
DFT total energy: -4.86 eV/atom
SG: Imm2 (44)
ΔE_f (raw): -1.278 eV/atom
D(E_F): 5.3 states/eV/cell

Unit cell a=9.8710 b=9.8710 c=9.8710 alpha=153.86 beta=67.66 gamma=118.84
Fractional positions:
Ac  0.2422  0.0000  0.2422
Ac  0.7578  0.0000  0.7578
Ho  0.3304  0.8304  0.5000
Ho  0.7698  0.7698  0.0000
Te  0.0348  0.7029  0.3319
Te  0.1012  0.1012  0.0000
Te  0.3710  0.7029  0.6681
Te  0.3923  0.4957  0.8966
Te  0.5991  0.4957  0.1034
Te  0.6751  0.3080  0.3670
Te  0.9410  0.3080  0.6330


[7]
Ac5HoTe8 | GGA-PBE | optimized geometry

Calculated values
DFT total energy: -5.10 eV/atom
SG: I-4 (82)
ΔE_f (raw): -1.507 eV/atom
D(E_F): 11.0 states/eV/cell

Unit cell a=8.5539 b=8.5539 c=8.5539 alpha=109.76 beta=109.76 gamma=108.90
Fractional positions:
Ac  0.0000  0.0000  0.0000
Ac  0.1249  0.4985  0.8719
Ac  0.5015  0.3734  0.6264
Ac  0.6266  0.2530  0.1281
Ac  0.7470  0.8751  0.3736
Ho  0.2500  0.7500  0.5000
Te  0.0321  0.2828  0.4056
Te  0.2244  0.1088  0.7418
Te  0.3670  0.4826  0.2582
Te  0.3734  0.9679  0.2507
Te  0.5174  0.7756  0.8844
Te  0.7172  0.1228  0.7493
Te  0.8772  0.6266  0.5944
Te  0.8912  0.6330  0.1156


[8]
Ac2HoTe | GGA-PBE | optimized geometry

Calculated values
Energy above the lowest structure with this stoichiometry: 0.000 eV per atom
DFT total energy: -4.52 eV/atom
SG: P4/mmm (123)
ΔE_f (raw): -0.539 eV/atom
D(E_F): 4.0 states/eV/cell

Unit cell a=4.1063 b=4.1063 c=8.8410 alpha=90.00 beta=90.00 gamma=90.00
Fractional positions:
Ac  0.0000  0.0000  0.2262
Ac  0.0000  0.0000  0.7738
Ho  0.5000  0.5000  0.5000
Te  0.5000  0.5000  0.0000


[9]
AcHo2Te | GGA-PBE | optimized geometry

Calculated values
Energy above the lowest structure with this stoichiometry: 0.000 eV per atom
DFT total energy: -4.64 eV/atom
SG: R-3m (166)
ΔE_f (raw): -0.536 eV/atom
D(E_F): 4.8 states/eV/cell

Unit cell a=10.4485 b=10.4485 c=10.4485 alpha=21.64 beta=21.64 gamma=21.64
Fractional positions:
Ac  0.0000  0.0000  0.0000
Ho  0.2347  0.2347  0.2347
Ho  0.7653  0.7653  0.7653
Te  0.5000  0.5000  0.5000


[10]
Ac5Ho2Te12 | GGA-PBE | optimized geometry

Calculated values
DFT total energy: -4.86 eV/atom
SG: C2/m (12)
ΔE_f (raw): -1.315 eV/atom
D(E_F): 4.9 states/eV/cell

Unit cell a=9.8550 b=9.8550 c=10.3932 alpha=101.79 beta=101.79 gamma=51.77
Fractional positions:
Ac  0.0000  0.0000  0.0000
Ac  0.2942  0.2942  0.1524
Ac  0.3246  0.3246  0.6897
Ac  0.6754  0.6754  0.3103
Ac  0.7058  0.7058  0.8476
Ho  0.2524  0.7476  0.5000
Ho  0.7476  0.2524  0.5000
Te  0.0357  0.0357  0.7045
Te  0.0660  0.5776  0.4262
Te  0.1032  0.6012  0.9371
Te  0.3988  0.8968  0.0629
Te  0.4224  0.9340  0.5738
Te  0.4882  0.4882  0.2861
Te  0.5118  0.5118  0.7139
Te  0.5776  0.0660  0.4262
Te  0.6012  0.1032  0.9371
Te  0.8968  0.3988  0.0629
Te  0.9340  0.4224  0.5738
Te  0.9643  0.9643  0.2955


[11]
Ac6HoTe8 | GGA-PBE | optimized geometry

Calculated values
DFT total energy: -5.12 eV/atom
SG: Fm-3m (225)
ΔE_f (raw): -1.495 eV/atom
D(E_F): 7.9 states/eV/cell

Unit cell a=9.4030 b=9.4030 c=9.4030 alpha=60.00 beta=60.00 gamma=60.00
Fractional positions:
Ac  0.0000  0.0000  0.5000
Ac  0.0000  0.5000  0.0000
Ac  0.0000  0.5000  0.5000
Ac  0.5000  0.0000  0.0000
Ac  0.5000  0.0000  0.5000
Ac  0.5000  0.5000  0.0000
Ho  0.0000  0.0000  0.0000
Te  0.2378  0.2378  0.7622
Te  0.2378  0.7622  0.2378
Te  0.2378  0.7622  0.7622
Te  0.2500  0.2500  0.2500
Te  0.7500  0.7500  0.7500
Te  0.7622  0.2378  0.2378
Te  0.7622  0.2378  0.7622
Te  0.7622  0.7622  0.2378


[12]
Ac2HoTe4 | GGA-PBE | optimized geometry

Calculated values
Energy above the lowest structure with this stoichiometry: 0.000 eV per atom
DFT total energy: -5.11 eV/atom
SG: C2/m (12)
ΔE_f (raw): -1.487 eV/atom
D(E_F): 1.2 states/eV/cell

Unit cell a=7.6728 b=7.6728 c=9.3410 alpha=120.16 beta=120.16 gamma=33.34
Fractional positions:
Ac  0.1439  0.1439  0.1988
Ac  0.8561  0.8561  0.8012
Ho  0.5000  0.5000  0.5000
Te  0.1635  0.1635  0.5775
Te  0.4388  0.4388  0.1312
Te  0.5612  0.5612  0.8688
Te  0.8365  0.8365  0.4225